(1)
Entry from Alexandria via LeMat-Bulk: a geometry-optimized CuAgOs2 structure (PBE).

DFT formation energy: 0.634 eV per atom
crystal system: tetragonal
relative energy among the computed polymorphs: 0.325 eV per atom
VASP energy: -6.72 eV per atom
total magnetization: 0.00 μB per cell
calculated volume: 14.50 Å³ per atom

Cell lengths 4.616, 4.616, 4.616 Å; angles 128.90, 128.90, 75.18 degrees
Fractional positions:
Ag (0.500, 0.500, 0.000)
Cu (0.750, 0.250, 0.500)
Os (0.000, 0.000, 0.000)
Os (0.250, 0.750, 0.500)

(2)
Entry from Alexandria via LeMat-Bulk: a geometry-optimized CdIrSe structure (PBE).

crystal system: orthorhombic
relative energy among the computed polymorphs: 0.111 eV per atom
VASP energy: -4.21 eV per atom
total magnetization: 0.00 μB per cell
calculated volume: 19.69 Å³ per atom

Cell lengths 6.259, 6.259, 6.259 Å; angles 152.57, 148.39, 42.34 degrees
Fractional positions:
Cd (0.981, 0.981, 0.000)
Ir (0.312, 0.312, 0.000)
Se (0.707, 0.707, 0.000)